No. 1
The following is a PBE calculation of a relaxed structure of PmY5Er5, from Alexandria.

The structure in CIF format:
```
data_PmY5Er5
_symmetry_space_group_name_H-M 'P -6 m 2'
_symmetry_Int_Tables_number 187
_symmetry_space_group_name_Hall 'P -6 2'
_cell_length_a 6.0626
_cell_length_b 6.0626
_cell_length_c 11.5376
_cell_angle_alpha 90.00
_cell_angle_beta 90.00
_cell_angle_gamma 120.00
loop_
_atom_site_label
_atom_site_fract_x
_atom_site_fract_y
_atom_site_fract_z
Pm1 0.0000 0.0000 0.0000
Y1 0.0000 0.0000 0.3229
Y2 0.3333 0.6667 0.1598
Y3 0.6667 0.3333 0.0000
Er1 0.0015 0.5008 0.5000
Er2 0.6667 0.3333 0.2660
```

Values from the calculation:
- Distance to the lowest polymorph of the same formula: 3.45 kcal/mol of atoms
- ΔH_f (0 K): 298 meV/atom

***

No. 2
The following is a PBE calculation of a relaxed structure of CsVCr2Cl8, from Alexandria.

The structure in CIF format:
```
data_CsVCr2Cl8
_symmetry_space_group_name_H-M 'R -3'
_symmetry_Int_Tables_number 148
_symmetry_space_group_name_Hall '-R 3'
_cell_length_a 6.4470
_cell_length_b 6.4470
_cell_length_c 28.3734
_cell_angle_alpha 90.00
_cell_angle_beta 90.00
_cell_angle_gamma 120.00
loop_
_atom_site_label
_atom_site_fract_x
_atom_site_fract_y
_atom_site_fract_z
Cs1 0.0000 0.0000 0.0000
V1 0.0000 0.0000 0.5000
Cr1 0.0000 0.0000 0.2294
Cl1 0.0000 0.0000 0.3085
Cl2 0.0175 0.3708 0.2160
```

Values from the calculation:
- E_form (uncorrected): -1146 meV/atom

***

| no. | V (Å³/cell) |
| --- | --- |
| 1 | 367.3 |
| 2 | 1021.3 |